Entry from the Alexandria database: a relaxed structure of CaMg2Cu (PBE-GGA).

Cell lengths 3.411, 3.411, 7.843 Å; angles 90.00, 90.00, 90.00 degrees
Space group P4mm (No. 99)
Symmetry-distinct sites (fractional):
Ca (0.000, 0.000, 0.000)
Mg (0.000, 0.000, 0.414)
Mg (0.500, 0.500, 0.670)
Cu (0.500, 0.500, 0.250)

crystal system: tetragonal
formation energy: -0.050 eV/atom

***

Entry from the Alexandria database: a relaxed structure of Ca2MgCu (PBE-GGA).

Cell lengths 5.4794, 5.4794, 9.1213 Å; angles 90.00, 90.00, 120.00 degrees
Space group P6_3/mmc (No. 194)
Symmetry-distinct sites (fractional):
Ca (0.3333, 0.6667, 0.0784)
Mg (0.0000, 0.0000, 0.0000)
Cu (0.3333, 0.6667, 0.7500)

crystal system: hexagonal
formation energy: 0.358 eV/atom